# 1
Entry from Alexandria via LeMat-Bulk: a geometry-optimized BeIr2Ru structure (PBE).

Structure (extended XYZ):
```
4
Lattice="4.982 0.000 -0.002 2.352 4.392 0.002 -3.131 -3.090 2.337" Properties=species:S:1:pos:R:3 pbc="T T T"
Ir 0.247 0.148 0.000
Ir 2.751 -0.452 1.168
Ru 3.436 2.057 0.000
Be 1.436 1.744 1.170
```

Output
* energy: -7.8222 eV per atom

=====

# 2
Entry from Alexandria via LeMat-Bulk: a geometry-optimized NbB2MoN structure (PBE).

Structure (extended XYZ):
```
5
Lattice="-2.959 -2.141 0.994 2.159 -3.099 -0.247 0.993 0.389 3.796" Properties=species:S:1:pos:R:3 pbc="T T T"
Nb 0.497 0.195 1.898
B 1.079 -1.549 -0.123
B -1.479 -1.070 0.497
N 0.000 0.000 0.000
Mo 0.097 -2.425 2.271
```

Output
* energy: -7.4958 eV per atom

=====

# 3
Entry from Alexandria via LeMat-Bulk: a geometry-optimized Ir2RhBr structure (PBE).

Structure (extended XYZ):
```
4
Lattice="2.806 0.000 0.000 0.000 3.554 0.000 0.000 0.000 7.115" Properties=species:S:1:pos:R:3 pbc="T T T"
Br 1.403 1.777 5.183
Ir 0.000 0.000 0.491
Ir 1.403 1.777 1.759
Rh 0.000 0.000 3.240
```

Output
* energy above the most stable polymorph in this dataset: 0.1760 eV per atom

=====

# 4
Entry from Alexandria via LeMat-Bulk: a geometry-optimized In2AuCl structure (PBE).

Structure (extended XYZ):
```
4
Lattice="-2.751 -1.696 -2.194 -2.342 -0.981 3.693 -2.804 5.098 -0.424" Properties=species:S:1:pos:R:3 pbc="T T T"
Au -1.052 1.912 -0.159
Cl -4.999 3.121 0.379
In -3.598 0.574 0.590
In -2.454 4.461 -0.371
```

Output
* energy above the most stable polymorph in this dataset: 0.0000 eV per atom